This record from the Alexandria database describes crystalline LiMo6S8 at its relaxed geometry. The functional is PBE.

Geometry as extended XYZ:
```
30
Lattice="-1.583 3.478 -5.279 2.490 -6.512 -5.729 -8.723 -3.568 0.255" Properties=species:S:1:pos:R:3 pbc="T T T"
Mo -2.302 -3.338 -5.541
S -0.925 0.787 -4.260
S -7.596 -3.775 -6.450
S -2.443 -0.356 -1.271
S -5.855 -1.335 -1.328
Mo -2.233 -3.172 -8.231
Mo -7.939 -1.834 -2.496
Mo -7.712 -4.239 -4.007
Li -1.704 -2.540 -2.190
Mo -2.117 -5.726 -7.013
S -6.891 -7.389 -6.493
S -7.774 -4.076 -1.565
Mo 0.039 -4.922 -5.525
Mo -5.515 -3.264 -5.211
S -0.042 -2.526 -9.188
Mo -0.104 -2.364 -6.746
S -5.668 -1.047 -6.173
S -0.221 -2.827 -4.302
S -1.961 -5.267 -9.424
Li -6.112 -4.062 -8.562
Mo -5.584 -3.430 -2.522
Mo -7.855 -1.680 -5.227
S -2.149 -5.556 -4.580
S -4.076 -4.260 -7.016
S -5.373 -6.246 -9.481
S -2.261 -1.223 -6.755
S -3.740 -2.343 -3.737
Mo 0.123 -4.768 -8.256
S -5.555 -5.379 -3.998
Mo -5.700 -0.877 -3.739
```

Results
- ΔE_f (raw): -1118 kJ/mol of formula units
- Total magnetization: 0.0 μB per cell
- Offset from the most stable computed form: 0 meV per atom


This record from the Alexandria database describes crystalline NiBi6Pd at its relaxed geometry. The functional is PBE.

Geometry as extended XYZ:
```
16
Lattice="8.037 -0.049 -2.822 -4.001 6.970 -2.824 -0.013 -0.018 8.475" Properties=species:S:1:pos:R:3 pbc="T T T"
Bi 0.656 3.443 -1.036
Pd 2.012 3.451 1.415
Bi 3.368 3.459 3.865
Bi -0.129 2.400 2.850
Bi -1.921 5.787 -0.053
Bi 4.152 4.502 -0.021
Ni -2.000 3.485 -1.412
Bi -1.396 4.669 4.724
Bi 1.976 5.706 -2.882
Bi 5.420 2.233 -1.895
Bi 2.047 1.196 5.711
Bi 3.377 1.041 0.957
Pd -0.007 -0.009 4.238
Bi 5.944 1.115 2.882
Ni 4.019 -0.025 -1.411
Bi 0.646 5.861 1.872
```

Results
- Total magnetization: 0.0 μB per cell
- Offset from the most stable computed form: 0 meV per atom


This record from the Alexandria database describes crystalline K2Tl5Cd4 at its relaxed geometry. The functional is PBE.

Geometry as extended XYZ:
```
11
Lattice="-5.765 -3.247 -0.799 -0.372 -7.066 3.605 -5.365 1.276 5.724" Properties=species:S:1:pos:R:3 pbc="T T T"
Tl -8.844 -2.632 4.751
K -5.755 -4.021 2.273
Cd -9.427 -5.432 6.705
Tl -5.907 -0.977 5.158
Tl -5.594 -8.061 3.371
Tl -2.657 -6.406 3.778
Cd -7.823 -8.111 6.026
Cd -3.678 -0.926 2.503
Cd -2.074 -3.606 1.824
Tl -2.868 -2.895 4.664
K -5.746 -5.017 6.256
```

Results
- Total magnetization: 0.0 μB per cell
- Uncorrected energy: -1.63 eV/atom


This record from the Alexandria database describes crystalline Na2LiH4 at its relaxed geometry. The functional is PBE.

Geometry as extended XYZ:
```
7
Lattice="-3.262 -1.485 0.143 1.485 -3.265 -0.035 -0.649 -2.330 5.984" Properties=species:S:1:pos:R:3 pbc="T T T"
H 0.743 -1.633 -0.018
Na -1.606 -4.719 4.334
H -0.727 -2.345 4.050
Li 0.000 0.000 0.000
Na -0.820 -2.362 1.758
H -1.631 -0.743 0.072
H -1.699 -4.736 2.042
```

Results
- Total magnetization: 0.5 μB per cell
- Uncorrected energy: -2.52 eV/atom


This record from the Alexandria database describes crystalline Hf2Ni2Sn at its relaxed geometry. The functional is PBE.

Geometry as extended XYZ:
```
20
Lattice="7.082 0.000 0.000 0.000 7.082 0.000 0.000 0.000 6.762" Properties=species:S:1:pos:R:3 pbc="T T T"
Sn 0.000 3.541 5.072
Hf 5.811 5.811 0.000
Ni 0.898 6.183 1.468
Ni 6.183 0.898 5.294
Hf 1.081 1.081 3.381
Hf 4.622 2.460 0.000
Sn 3.541 0.000 5.072
Ni 2.643 2.643 4.849
Hf 6.001 6.001 3.381
Sn 3.541 0.000 1.691
Ni 4.439 4.439 4.849
Hf 4.812 2.270 3.381
Ni 0.898 6.183 5.294
Sn 0.000 3.541 1.691
Hf 2.270 4.812 3.381
Hf 2.460 4.622 0.000
Ni 4.439 4.439 1.913
Hf 1.271 1.271 0.000
Ni 2.643 2.643 1.913
Ni 6.183 0.898 1.468
```

Results
- Total magnetization: 0.0 μB per cell
- Uncorrected energy: -7.67 eV/atom


This record from the Alexandria database describes crystalline Y2NiTe2 at its relaxed geometry. The functional is PBE.

Geometry as extended XYZ:
```
5
Lattice="4.252 0.000 0.000 0.000 4.252 0.000 2.126 2.126 7.881" Properties=species:S:1:pos:R:3 pbc="T T T"
Te 2.126 4.252 3.941
Y 2.126 2.126 1.593
Ni 0.000 0.000 0.000
Y 4.252 4.252 6.289
Te 4.252 2.126 3.941
```

Results
- ΔE_f (raw): -37 kJ/mol of formula units
- Total magnetization: 0.0 μB per cell
- Offset from the most stable computed form: 593 meV per atom


This record from the Alexandria database describes crystalline Np2FeS6 at its relaxed geometry. The functional is PBE.

Geometry as extended XYZ:
```
18
Lattice="-4.254 2.269 3.522 -4.188 -2.146 -3.675 -0.244 -9.467 5.805" Properties=species:S:1:pos:R:3 pbc="T T T"
S -4.361 -3.415 4.874
Np -0.164 -6.389 3.918
S -5.930 -3.297 1.968
S -4.324 -5.928 0.778
Fe 0.000 0.000 0.000
S -2.756 -6.047 3.684
S -2.686 -3.344 2.027
S -4.276 0.070 2.969
S -4.410 -9.413 2.684
Np -4.422 -7.750 4.714
Np -0.079 -3.078 1.888
S -6.040 0.088 -0.109
S -4.450 -6.694 7.117
S -5.999 -5.999 3.626
Fe -4.343 -4.672 2.826
Np -4.264 -1.593 0.939
S -2.402 0.035 -0.043
S -4.236 -2.649 -1.464
```

Results
- ΔE_f (raw): -668 kJ/mol of formula units
- Total magnetization: 8.0 μB per cell


This record from the Alexandria database describes crystalline La2TbMnS5 at its relaxed geometry. The functional is PBE.

Geometry as extended XYZ:
```
18
Lattice="-1.765 1.269 3.347 -0.272 -8.552 0.719 10.766 0.132 5.629" Properties=species:S:1:pos:R:3 pbc="T T T"
S 4.320 -1.699 5.302
Mn 9.005 -0.044 7.145
Mn 3.583 -7.061 4.566
S 0.609 -2.494 3.646
S 7.977 -2.218 7.428
S 1.868 0.570 3.148
Tb 4.032 -4.270 6.125
S -0.634 -5.514 1.756
La 3.381 -1.919 2.511
La 7.300 -5.209 8.204
La 7.175 -1.788 4.462
S 3.625 -6.904 6.908
S 0.188 -0.307 0.215
Tb -0.173 -2.941 1.024
S 3.187 -4.903 3.540
La 0.303 -5.378 4.578
S 7.008 -7.720 6.622
S 6.639 -4.675 5.274
```

Results
- ΔE_f (raw): -1577 kJ/mol of formula units
- Total magnetization: 8.7 μB per cell


What did the seventh record say?
This record from the Alexandria database describes crystalline Np2FeS6 at its relaxed geometry. The functional is PBE.

Geometry as extended XYZ:
```
18
Lattice="-4.254 2.269 3.522 -4.188 -2.146 -3.675 -0.244 -9.467 5.805" Properties=species:S:1:pos:R:3 pbc="T T T"
S -4.361 -3.415 4.874
Np -0.164 -6.389 3.918
S -5.930 -3.297 1.968
S -4.324 -5.928 0.778
Fe 0.000 0.000 0.000
S -2.756 -6.047 3.684
S -2.686 -3.344 2.027
S -4.276 0.070 2.969
S -4.410 -9.413 2.684
Np -4.422 -7.750 4.714
Np -0.079 -3.078 1.888
S -6.040 0.088 -0.109
S -4.450 -6.694 7.117
S -5.999 -5.999 3.626
Fe -4.343 -4.672 2.826
Np -4.264 -1.593 0.939
S -2.402 0.035 -0.043
S -4.236 -2.649 -1.464
```

Results
- ΔE_f (raw): -668 kJ/mol of formula units
- Total magnetization: 8.0 μB per cell